# 1
Material: NdB2Pd8
Method: DFT, GGA-PBE
State: relaxed

Output
DOS(E_F) in states/eV/cell: 3.726
ΔH_f (0 K) in eV per atom: -0.305

The structure in CIF format:
```
data_NdB2Pd8
_chemical_formula_sum 'Nd1 B2 Pd8'
_cell_length_a 6.510
_cell_length_b 6.510
_cell_length_c 4.316
_cell_angle_alpha 96.68
_cell_angle_beta 96.68
_cell_angle_gamma 111.22
_symmetry_space_group_name_H-M 'P 1'
_symmetry_Int_Tables_number 1
loop_
_symmetry_equiv_pos_as_xyz
'x,y,z'
loop_
_atom_site_label
_atom_site_type_symbol
_atom_site_fract_x
_atom_site_fract_y
_atom_site_fract_z
_atom_site_occupancy
Nd1 Nd 0.000 0.000 0.000 1
B1 B 0.327 0.673 0.500 1
B2 B 0.673 0.327 0.500 1
Pd1 Pd 0.059 0.335 0.581 1
Pd2 Pd 0.267 0.733 0.000 1
Pd3 Pd 0.335 0.059 0.581 1
Pd4 Pd 0.399 0.399 0.216 1
Pd5 Pd 0.601 0.601 0.784 1
Pd6 Pd 0.665 0.941 0.419 1
Pd7 Pd 0.733 0.267 0.000 1
Pd8 Pd 0.941 0.665 0.419 1
```

***

# 2
Material: Rb3CdBi
Method: DFT, GGA-PBE
State: relaxed

Output
ΔH_f (0 K) in eV per atom: -0.165
Energy relative to the lowest polymorph listed for this composition in meV/atom: 76

The structure in CIF format:
```
data_Rb3CdBi
_chemical_formula_sum 'Rb6 Cd2 Bi2'
_cell_length_a 9.351
_cell_length_b 9.351
_cell_length_c 9.351
_cell_angle_alpha 102.45
_cell_angle_beta 109.82
_cell_angle_gamma 116.44
_symmetry_space_group_name_H-M 'P 1'
_symmetry_Int_Tables_number 1
loop_
_symmetry_equiv_pos_as_xyz
'x,y,z'
loop_
_atom_site_label
_atom_site_type_symbol
_atom_site_fract_x
_atom_site_fract_y
_atom_site_fract_z
_atom_site_occupancy
Rb1 Rb 0.195 0.057 0.252 1
Rb2 Rb 0.195 0.443 0.638 1
Rb3 Rb 0.559 0.910 0.149 1
Rb4 Rb 0.761 0.410 0.851 1
Rb5 Rb 0.805 0.557 0.362 1
Rb6 Rb 0.805 0.943 0.748 1
Cd1 Cd 0.260 0.050 0.710 1
Cd2 Cd 0.339 0.550 0.290 1
Bi1 Bi 0.108 0.780 0.827 1
Bi2 Bi 0.953 0.280 0.173 1
```